[1]
Hf2MgBi: optimized geometry, PBE.

```
Hf2MgBi
1.0
-1.2226 -1.5914 -2.5688
1.5891 0.0360 -2.8460
5.2133 -8.5296 2.8033
Mg Hf Bi
1 2 1
Cartesian
2.8054 -5.1085 -1.5355
4.0042 -6.7509 0.9810
1.3617 -2.4264 -0.4331
0.1984 -0.8417 -2.9297
```

Summary:
Calculated formation energy (meV/atom): 174


[2]
ZnInSb: optimized geometry, PBE.

```
ZnInSb
1.0
4.8918 0.0000 0.0000
0.0000 4.0594 0.0000
-2.4459 -2.0297 7.8174
Sb Zn In
2 2 2
Cartesian
0.0000 2.0297 2.5009
2.4459 0.0000 5.3165
3.6446 2.0297 0.0000
1.2473 2.0297 0.0000
0.0000 2.0297 5.7973
2.4459 0.0000 2.0201
```

Summary:
Calculated total energy (eV per atom): -2.61


[3]
CrRuRh2: optimized geometry, PBE.

```
CrRuRh2
1.0
-2.3561 5.2411 -6.6784
-4.7701 4.2026 -6.0996
-3.8646 6.3414 -4.7406
Rh Cr Ru
2 1 1
Cartesian
-2.7375 3.9317 -4.3634
-0.0487 0.0700 -0.0776
-8.2418 11.8370 -13.1370
-5.4581 7.8390 -8.6999
```

Summary:
Calculated formation energy (meV/atom): 59


[4]
Li4Pu3PaS8: optimized geometry, PBE.

```
Li4Pu3PaS8
1.0
7.9141 0.0000 0.0000
0.0000 7.6416 -0.2004
-3.9571 -3.9515 5.5998
S Li Pu Pa
8 4 3 1
Cartesian
3.9571 3.7566 2.6507
2.0228 -2.0419 5.5180
0.0000 -0.0665 2.7487
1.9342 5.7320 -0.1185
-2.0228 -2.0419 5.5180
5.9799 5.7320 -0.1185
0.0000 3.8005 2.6191
3.9571 -0.1104 2.7803
-1.9785 -1.9758 2.7999
3.9571 0.0000 0.0000
1.9785 -1.9758 2.7999
0.0000 0.0000 0.0000
-1.9785 1.8451 2.6997
3.9571 3.8208 -0.1002
1.9785 1.8451 2.6997
0.0000 3.8208 -0.1002
```

Summary:
Calculated total energy (eV per atom): -7.38


[5]
SrLaNd14: optimized geometry, PBE.

```
SrLaNd14
1.0
-4.4834 -5.9306 1.0028
6.9391 -0.0161 2.8506
-4.1538 4.8547 10.1389
Nd La Sr
14 1 1
Cartesian
2.1019 -0.7837 4.7487
-3.6760 -3.7288 3.8860
-2.7535 -1.5321 6.6881
-1.3917 -0.6989 3.3838
-0.5071 1.4292 6.1905
-3.4229 1.6750 8.3415
2.9536 1.4230 7.6113
-5.7147 -1.3463 8.8620
-2.1703 -1.3582 10.3070
0.7164 -1.5335 8.1104
1.5685 -1.0000 1.1215
2.7912 -3.9607 3.0400
0.0080 1.6635 9.8596
-0.1391 -3.7320 5.3493
5.0316 -1.0038 2.5420
-0.6730 -3.9576 1.6192
```

Summary:
Calculated formation energy (meV/atom): 61


[6]
Hf2TaPd2: optimized geometry, PBE.

```
Hf2TaPd2
1.0
-1.8101 0.8735 -7.3691
-3.0125 -7.0185 -0.0920
-2.8442 1.2098 0.8420
Hf Pd Ta
4 4 2
Cartesian
-5.1323 -4.6156 -4.6107
-3.9066 -0.9709 -5.7071
-3.7602 -3.9643 -0.9119
-2.5345 -0.3196 -2.0083
-3.3030 -5.7986 -2.8257
-1.5196 -0.3464 -4.6354
-1.3530 -2.5035 -0.9734
-3.4696 -3.6415 -6.4877
-2.4113 -3.0725 -3.7305
0.0000 0.0000 0.0000
```

Summary:
Excess energy over the best structure of this formula in the dataset (eV/atom): 0.0000
Calculated formation energy (meV/atom): -353


[7]
Ce2MgBe4Si3: optimized geometry, PBE.

```
Ce2MgBe4Si3
1.0
-0.7991 3.5763 -1.6083
-3.3534 -1.4741 -1.6115
-4.9546 2.5008 8.0225
Si Mg Be Ce
3 1 4 2
Cartesian
-2.4773 1.2504 4.0112
-2.2976 -0.4236 0.1997
-4.7332 3.9755 6.2129
-4.5536 2.3015 2.4013
0.0000 0.0000 0.0000
-3.4382 0.1521 2.0465
-2.0763 1.0511 -1.6099
-3.5926 3.3998 4.3660
-5.4666 1.1759 5.3309
-1.5642 2.3760 1.0816
```

Summary:
Calculated total energy (eV per atom): -4.77


[8]
LaCoGe2: optimized geometry, PBE.

```
LaCoGe2
1.0
-3.9529 1.6020 0.1293
-1.5009 -3.8103 1.3235
1.9532 4.2229 7.3899
Ge La Co
4 2 2
Cartesian
-3.1144 0.4535 4.7883
-2.8560 1.4112 0.8226
-0.3863 1.5611 4.0544
-0.6447 0.6034 8.0201
-1.4746 -0.9953 2.4588
-2.0261 3.0099 6.3838
-2.5279 2.0425 3.0302
-0.9728 -0.0279 5.8124
```

Summary:
Calculated formation energy (meV/atom): -689


[9]
NaLa2IrC: optimized geometry, PBE.

```
NaLa2IrC
1.0
5.4404 0.0000 0.0000
0.0000 5.4404 0.0000
0.0000 0.0000 3.9458
La C Ir Na
2 1 1 1
Cartesian
0.0000 2.7202 0.0000
2.7202 0.0000 0.0000
0.0000 0.0000 0.0000
0.0000 0.0000 1.9729
2.7202 2.7202 1.9729
```

Summary:
Calculated formation energy (meV/atom): -220


[10]
SrRe2Au: optimized geometry, PBE.

```
SrRe2Au
1.0
-2.1661 0.7270 5.3966
-3.4750 -3.9115 2.6398
5.0515 0.3295 -2.9526
Sr Re Au
1 2 1
Cartesian
-0.6220 -2.5871 1.8527
-2.8206 -1.5923 4.0182
0.0000 0.0000 0.0000
0.0324 -0.2679 3.2311
```

Summary:
Excess energy over the best structure of this formula in the dataset (eV/atom): 0.7359
Calculated formation energy (meV/atom): 1032


[11]
TlPdRu2O8: optimized geometry, PBE.

```
TlPdRu2O8
1.0
-3.6909 -1.0591 3.6624
0.8050 -3.8748 3.5349
2.8277 4.1574 7.8961
O Ru Pd Tl
8 2 1 1
Cartesian
2.0473 -0.2473 8.2278
0.7212 -2.2994 6.7854
-0.6882 -1.2255 2.7962
-1.9034 -1.5016 7.7527
-0.7112 -0.1291 5.4821
-0.4753 0.0592 9.6433
0.1469 1.7888 7.3889
0.6301 0.4490 12.2972
-0.1247 -0.7065 11.2024
0.0665 -0.0700 3.8910
-0.0291 -0.3882 7.5467
0.0000 0.0000 0.0000
```

Summary:
Calculated total energy (eV per atom): -6.10


[12]
Nd2DyIn4: optimized geometry, PBE.

```
Nd2DyIn4
1.0
5.0582 0.0000 -1.6124
-0.5140 5.0320 -1.6124
-0.1180 -0.1306 8.3700
Dy Nd In
1 2 4
Cartesian
0.0000 0.0000 0.0000
1.0841 1.2004 3.4008
3.3422 3.7009 1.7444
1.4236 4.3770 4.4659
3.0026 0.5244 0.6793
0.2166 3.0404 0.6793
4.2097 1.8610 4.4659
```

Summary:
Excess energy over the best structure of this formula in the dataset (eV/atom): 0.0000
Calculated formation energy (meV/atom): -325


Size of the total moment in μB/f.u., matching the order above: 0.00, 0.00, 0.00, 17.00, 0.00, 0.50, 1.31, 0.00, 0.00, 0.00, 1.10, 0.00